Density functional theory data (PBE) for crystalline Zr2Ni3Ir at its relaxed geometry.

Cell lengths 9.3076, 9.3076, 9.0397 Å; angles 134.40, 134.40, 68.96 degrees
Closest atoms and distances in Å follow each position.
Sites, in units of the cell vectors:
Ni (0.2769, 0.7231, 0.0000)  2 Ni 2.43, 4 Zr 2.69-2.70, 2 Ir 2.71
Ni (0.4764, 0.9765, 0.5000)  4 Ni 2.36-2.43, 2 Zr 2.52
Ni (0.1250, 0.3750, 0.2500)  2 Ni 2.36, 2 Zr 2.57
Ir (0.8914, 0.3914, 0.7828)  1 Ir 2.70, 4 Ni 2.71-2.85, 4 Zr 2.74-2.79
Ni (0.2264, 0.2265, 0.0000)  4 Ni 2.36-2.43, 2 Zr 2.52
Ni (0.1250, 0.8750, 0.7500)  2 Ni 2.36, 2 Zr 2.57
Ir (0.3586, 0.3586, 0.7172)  1 Ir 2.70, 4 Ni 2.71-2.85, 4 Zr 2.74-2.79
Zr (0.8306, 0.0584, 0.6960)  6 Ni 2.52-2.74, 2 Ir 2.74-2.79
Ir (0.6414, 0.6414, 0.2828)  1 Ir 2.70, 4 Ni 2.71-2.85, 4 Zr 2.74-2.79
Ir (0.6086, 0.1086, 0.2172)  1 Ir 2.70, 4 Ni 2.71-2.85, 4 Zr 2.74-2.79
Ni (0.0235, 0.5235, 0.5000)  4 Ni 2.36-2.43, 2 Zr 2.52
Ni (0.6250, 0.8750, 0.7500)  2 Ni 2.36, 2 Zr 2.57
Ni (0.1250, 0.8750, 0.2500)  2 Ni 2.36, 2 Zr 2.57
Ni (0.9731, 0.0269, 0.5000)  2 Ni 2.43, 4 Zr 2.69-2.70, 2 Ir 2.71
Zr (0.9416, 0.1694, 0.3040)  6 Ni 2.52-2.74, 2 Ir 2.74-2.79
Zr (0.3846, 0.1124, 0.8040)  6 Ni 2.52-2.74, 2 Ir 2.74-2.79
Ni (0.7735, 0.7735, 0.0000)  4 Ni 2.36-2.43, 2 Zr 2.52
Zr (0.4194, 0.6916, 0.8040)  6 Ni 2.52-2.74, 2 Ir 2.74-2.79
Ni (0.7231, 0.2769, 0.0000)  2 Ni 2.43, 4 Zr 2.69-2.70, 2 Ir 2.71
Zr (0.3084, 0.5806, 0.1960)  6 Ni 2.52-2.74, 2 Ir 2.74-2.79
Ni (0.5269, 0.4731, 0.5000)  2 Ni 2.43, 4 Zr 2.69-2.70, 2 Ir 2.71
Zr (0.8876, 0.6154, 0.1960)  6 Ni 2.52-2.74, 2 Ir 2.74-2.79
Zr (0.3624, 0.1346, 0.3040)  6 Ni 2.52-2.74, 2 Ir 2.74-2.79
Zr (0.8654, 0.6376, 0.6960)  6 Ni 2.52-2.74, 2 Ir 2.74-2.79

**M_tot**: 0.000 μB/cell
**Density of states at the Fermi level**: 18.07 states/eV/cell
**Space group**: No. 70
**Calculated formation energy**: -1.702 eV per formula unit